No. 1
First-principles (meta-GGA SCAN) data for YCr3Rh at its PBEsol-relaxed geometry, as listed in Alexandria via LeMat-Bulk.

extended XYZ file:
```
5
Lattice="-0.252 0.966 4.513 2.119 -3.991 0.973 4.100 2.122 -0.225" Properties=species:S:1:pos:R:3 pbc="T T T"
Y 2.984 -0.452 2.630
Cr 1.059 -1.996 0.486
Cr 2.050 1.061 -0.113
Cr -0.126 0.483 2.257
Rh 0.000 0.000 0.000
```

Output
DFT total energy, eV per atom: -22.7402
Energy relative to the elements, meV/atom: 613.4
D(E_F), states/eV/atom: 1.159

No. 2
First-principles (meta-GGA SCAN) data for YCrRh3 at its PBEsol-relaxed geometry, as listed in Alexandria via LeMat-Bulk.

extended XYZ file:
```
5
Lattice="4.732 0.000 0.000 0.000 4.732 0.000 0.000 0.000 4.732" Properties=species:S:1:pos:R:3 pbc="T T T"
Y 0.000 0.000 0.000
Cr 2.366 2.366 2.366
Rh 0.000 2.366 0.000
Rh 0.000 0.000 2.366
Rh 2.366 0.000 0.000
```

Output
DFT total energy, eV per atom: -28.2146
Energy relative to the elements, meV/atom: 1293.8
D(E_F), states/eV/atom: 1.160

No. 3
First-principles (meta-GGA SCAN) data for ZnCrRh3 at its PBEsol-relaxed geometry, as listed in Alexandria via LeMat-Bulk.

extended XYZ file:
```
5
Lattice="-1.537 -0.416 4.122 -3.580 -2.079 -1.545 2.085 -3.877 0.386" Properties=species:S:1:pos:R:3 pbc="T T T"
Cr -1.516 -3.186 1.482
Zn 0.000 0.000 0.000
Rh -1.790 -1.040 -0.772
Rh 1.042 -1.939 0.193
Rh -0.768 -0.208 2.061
```

Output
DFT total energy, eV per atom: -25.6166
Energy relative to the elements, meV/atom: 1026.2
Energy above the lowest structure with this stoichiometry, meV/atom: 170.8
D(E_F), states/eV/atom: 1.102

No. 4
First-principles (meta-GGA SCAN) data for ZnCrRh3 at its PBEsol-relaxed geometry, as listed in Alexandria via LeMat-Bulk.

extended XYZ file:
```
5
Lattice="4.361 0.000 0.000 0.000 4.361 0.000 0.000 0.000 4.361" Properties=species:S:1:pos:R:3 pbc="T T T"
Cr 0.000 0.000 0.000
Zn 2.181 2.181 2.181
Rh 0.000 2.181 0.000
Rh 0.000 0.000 2.181
Rh 2.181 0.000 0.000
```

Output
DFT total energy, eV per atom: -25.7874
Energy relative to the elements, meV/atom: 855.4
Energy above the lowest structure with this stoichiometry, meV/atom: 0.0
D(E_F), states/eV/atom: 0.666

No. 5
First-principles (meta-GGA SCAN) data for Zn3CrRh at its PBEsol-relaxed geometry, as listed in Alexandria via LeMat-Bulk.

extended XYZ file:
```
5
Lattice="-3.698 -0.230 2.778 -2.007 -2.982 -2.919 1.934 -3.535 2.282" Properties=species:S:1:pos:R:3 pbc="T T T"
Cr -1.885 -3.374 1.070
Zn -1.004 -1.491 -1.459
Zn 0.967 -1.767 1.141
Zn -1.849 -0.115 1.389
Rh 0.000 0.000 0.000
```

Output
DFT total energy, eV per atom: -18.1542
Energy relative to the elements, meV/atom: 386.1
D(E_F), states/eV/atom: 0.408

No. 6
First-principles (meta-GGA SCAN) data for ZnCr3Rh at its PBEsol-relaxed geometry, as listed in Alexandria via LeMat-Bulk.

extended XYZ file:
```
5
Lattice="4.621 0.000 0.000 0.000 4.621 0.000 0.000 0.000 4.621" Properties=species:S:1:pos:R:3 pbc="T T T"
Cr 0.000 2.310 0.000
Cr 0.000 0.000 2.310
Cr 2.310 0.000 0.000
Zn 2.310 2.310 2.310
Rh 0.000 0.000 0.000
```

Output
DFT total energy, eV per atom: -19.4663
Energy relative to the elements, meV/atom: 1021.8
D(E_F), states/eV/atom: 0.995

No. 7
First-principles (meta-GGA SCAN) data for ZrCr2Rh at its PBEsol-relaxed geometry, as listed in Alexandria via LeMat-Bulk.

extended XYZ file:
```
4
Lattice="2.973 0.000 0.000 0.000 2.973 0.000 0.000 0.000 6.444" Properties=species:S:1:pos:R:3 pbc="T T T"
Cr 0.000 0.000 0.268
Cr 1.486 1.486 1.461
Rh 0.000 0.000 3.046
Zr 1.486 1.486 4.890
```

Output
DFT total energy, eV per atom: -25.4965
Energy relative to the elements, meV/atom: -186.6
D(E_F), states/eV/atom: 0.795

No. 8
First-principles (meta-GGA SCAN) data for Zr2CrRh at its PBEsol-relaxed geometry, as listed in Alexandria via LeMat-Bulk.

extended XYZ file:
```
4
Lattice="-1.513 2.069 1.647 -3.734 -1.827 -1.134 0.270 -3.199 4.266" Properties=species:S:1:pos:R:3 pbc="T T T"
Cr 0.122 -1.450 1.934
Rh -2.410 -2.405 3.624
Zr 0.258 -3.051 4.068
Zr -2.541 -0.850 1.551
```

Output
DFT total energy, eV per atom: -28.5535
Energy relative to the elements, meV/atom: -165.1
Energy above the lowest structure with this stoichiometry, meV/atom: 284.9
D(E_F), states/eV/atom: 0.693